[1]
Here is a geometry-optimized FeSiHg4 structure from Alexandria via LeMat-Bulk. Energies are from PBEsol.

- symmetry = F-43m, No. 216
- D(E_F) (states/eV per atom) = 1.246
- formation energy (no corrections) (eV per atom) = 0.788

Cell: 5.636 5.636 5.636 Å, 60.00 60.00 60.00°
Sites, in units of the cell vectors:
Fe: 0.000 0.000 0.000
Si: 0.750 0.750 0.750
Hg: 0.375 0.375 0.375
Hg: 0.375 0.375 0.876
Hg: 0.375 0.876 0.375
Hg: 0.876 0.375 0.375



[2]
Here is a geometry-optimized FeSi2Hg structure from Alexandria via LeMat-Bulk. Energies are from PBEsol.

- symmetry = Pmmm, No. 47
- D(E_F) (states/eV per atom) = 0.488
- formation energy (no corrections) (eV per atom) = -0.063

Cell: 2.734 2.774 7.839 Å, 90.00 90.00 90.00°
Sites, in units of the cell vectors:
Fe: 0.000 0.000 0.000
Si: 0.500 0.500 0.176
Si: 0.500 0.500 0.824
Hg: 0.500 0.000 0.500



[3]
Here is a geometry-optimized FeSi2Hg structure from Alexandria via LeMat-Bulk. Energies are from PBEsol.

- symmetry = Fmmm, No. 69
- D(E_F) (states/eV per atom) = 0.708
- formation energy (no corrections) (eV per atom) = 0.479

Cell: 5.176 5.158 3.813 Å, 68.60 68.09 43.31°
Sites, in units of the cell vectors:
Fe: 0.000 0.000 0.000
Si: 0.000 0.500 0.000
Si: 0.500 0.000 0.500
Hg: 0.500 0.500 0.500



[4]
Here is a geometry-optimized FeSiHg3 structure from Alexandria via LeMat-Bulk. Energies are from PBEsol.

- symmetry = Pm-3m, No. 221
- D(E_F) (states/eV per atom) = 1.359
- formation energy (no corrections) (eV per atom) = 0.954

Cell: 4.959 4.959 4.959 Å, 90.00 90.00 90.00°
Sites, in units of the cell vectors:
Fe: 0.000 0.000 0.000
Si: 0.500 0.500 0.500
Hg: 0.000 0.500 0.500
Hg: 0.500 0.000 0.500
Hg: 0.500 0.500 0.000



[5]
Here is a geometry-optimized FeSnHg3 structure from Alexandria via LeMat-Bulk. Energies are from PBEsol.

- DFT formation energy (eV/atom) = 0.471
- symmetry = Pm-3m, No. 221
- D(E_F) (states/eV per atom) = 0.686
- polymorph energy (0 for the lowest one) (eV per atom) = 0.000

Cell: 4.961 4.961 4.961 Å, 90.00 90.00 90.00°
Sites, in units of the cell vectors:
Fe: 0.000 0.000 0.000
Sn: 0.500 0.500 0.500
Hg: 0.000 0.000 0.500
Hg: 0.000 0.500 0.000
Hg: 0.500 0.000 0.000



[6]
Here is a geometry-optimized Sr2FeHg structure from Alexandria via LeMat-Bulk. Energies are from PBEsol.

- DFT formation energy (eV/atom) = 0.396
- symmetry = F-43m, No. 216
- D(E_F) (states/eV per atom) = 1.988
- polymorph energy (0 for the lowest one) (eV per atom) = 0.282

Cell: 5.215 5.215 5.215 Å, 60.00 60.00 60.00°
Sites, in units of the cell vectors:
Sr: 0.000 0.000 0.000
Sr: 0.250 0.250 0.250
Fe: 0.750 0.750 0.750
Hg: 0.500 0.500 0.500



[7]
Here is a geometry-optimized Sr2FeHg structure from Alexandria via LeMat-Bulk. Energies are from PBEsol.

- DFT formation energy (eV/atom) = 0.113
- symmetry = R3m, No. 160
- D(E_F) (states/eV per atom) = 1.368
- polymorph energy (0 for the lowest one) (eV per atom) = 0.000

Cell: 8.177 8.177 8.177 Å, 31.78 31.78 31.78°
Sites, in units of the cell vectors:
Sr: 0.000 0.000 0.000
Sr: 0.177 0.177 0.177
Fe: 0.756 0.756 0.756
Hg: 0.422 0.422 0.422



[8]
Here is a geometry-optimized TaFeHg2 structure from Alexandria via LeMat-Bulk. Energies are from PBEsol.

- DFT formation energy (eV/atom) = 0.473
- symmetry = I-4m2, No. 119
- D(E_F) (states/eV per atom) = 0.684
- polymorph energy (0 for the lowest one) (eV per atom) = 0.102

Cell: 4.885 4.885 4.885 Å, 129.53 129.53 74.16°
Sites, in units of the cell vectors:
Ta: 0.000 0.000 0.000
Fe: 0.750 0.250 0.500
Hg: 0.250 0.750 0.500
Hg: 0.500 0.500 0.000



[9]
Here is a geometry-optimized TaFeHg2 structure from Alexandria via LeMat-Bulk. Energies are from PBEsol.

- DFT formation energy (eV/atom) = 0.459
- symmetry = Immm, No. 71
- D(E_F) (states/eV per atom) = 0.681
- polymorph energy (0 for the lowest one) (eV per atom) = 0.088

Cell: 5.354 5.354 5.354 Å, 143.63 130.72 62.77°
Sites, in units of the cell vectors:
Ta: 0.000 0.000 0.000
Fe: 0.500 0.500 0.000
Hg: 0.271 0.771 0.500
Hg: 0.729 0.229 0.500



[10]
Here is a geometry-optimized TaFeHg2 structure from Alexandria via LeMat-Bulk. Energies are from PBEsol.

- DFT formation energy (eV/atom) = 0.439
- symmetry = Cmmm, No. 65
- D(E_F) (states/eV per atom) = 0.852
- polymorph energy (0 for the lowest one) (eV per atom) = 0.068

Cell: 5.162 5.162 2.807 Å, 90.00 90.00 111.67°
Sites, in units of the cell vectors:
Ta: 0.000 0.000 0.000
Fe: 0.500 0.500 0.000
Hg: 0.000 0.500 0.500
Hg: 0.500 0.000 0.500



[11]
Here is a geometry-optimized TaFeHg2 structure from Alexandria via LeMat-Bulk. Energies are from PBEsol.

- DFT formation energy (eV/atom) = 0.371
- symmetry = Cm, No. 8
- D(E_F) (states/eV per atom) = 0.541
- polymorph energy (0 for the lowest one) (eV per atom) = 0.000

Cell: 5.526 5.526 4.743 Å, 114.88 114.88 32.25°
Sites, in units of the cell vectors:
Ta: 0.000 0.000 0.000
Fe: 0.313 0.313 0.814
Hg: 0.568 0.568 0.568
Hg: 0.783 0.783 0.283



[12]
Here is a geometry-optimized TaFeHg3 structure from Alexandria via LeMat-Bulk. Energies are from PBEsol.

- DFT formation energy (eV/atom) = 1.579
- symmetry = Pm-3m, No. 221
- D(E_F) (states/eV per atom) = 1.382

Cell: 5.231 5.231 5.231 Å, 90.00 90.00 90.00°
Sites, in units of the cell vectors:
Ta: 0.000 0.000 0.000
Fe: 0.500 0.500 0.500
Hg: 0.000 0.000 0.500
Hg: 0.000 0.500 0.000
Hg: 0.500 0.000 0.000



[13]
Here is a geometry-optimized Fe2HgTe2 structure from Alexandria via LeMat-Bulk. Energies are from PBEsol.

- symmetry = I4/mmm, No. 139
- D(E_F) (states/eV per atom) = 0.588
- formation energy (no corrections) (eV per atom) = 0.006

Cell: 8.907 8.907 8.907 Å, 156.93 156.93 32.86°
Sites, in units of the cell vectors:
Fe: 0.250 0.750 0.500
Fe: 0.750 0.250 0.500
Hg: 0.000 0.000 0.000
Te: 0.357 0.357 0.000
Te: 0.643 0.643 0.000



[14]
Here is a geometry-optimized FeHgTe structure from Alexandria via LeMat-Bulk. Energies are from PBEsol.

- symmetry = I4mm, No. 107
- D(E_F) (states/eV per atom) = 0.536
- formation energy (no corrections) (eV per atom) = 0.277
- polymorph energy (0 for the lowest one) (eV per atom) = 0.000

Cell: 6.651 6.651 6.651 Å, 153.41 153.41 37.95°
Sites, in units of the cell vectors:
Fe: 0.000 0.000 0.000
Hg: 0.648 0.648 0.000
Te: 0.392 0.392 0.000



[15]
Here is a geometry-optimized Fe2HgTe structure from Alexandria via LeMat-Bulk. Energies are from PBEsol.

- symmetry = F-43m, No. 216
- D(E_F) (states/eV per atom) = 1.116
- formation energy (no corrections) (eV per atom) = 0.760
- polymorph energy (0 for the lowest one) (eV per atom) = 0.272

Cell: 4.631 4.631 4.631 Å, 60.00 60.00 60.00°
Sites, in units of the cell vectors:
Fe: 0.000 0.000 0.000
Fe: 0.250 0.250 0.250
Hg: 0.750 0.750 0.750
Te: 0.500 0.500 0.500



[16]
Here is a geometry-optimized FeHgTe2 structure from Alexandria via LeMat-Bulk. Energies are from PBEsol.

- symmetry = P4/mmm, No. 123
- D(E_F) (states/eV per atom) = 1.216
- formation energy (no corrections) (eV per atom) = 0.584

Cell: 4.997 4.997 3.590 Å, 90.00 90.00 90.00°
Sites, in units of the cell vectors:
Fe: 0.000 0.000 0.000
Hg: 0.500 0.500 0.000
Te: 0.000 0.500 0.500
Te: 0.500 0.000 0.500



[17]
Here is a geometry-optimized FeHgTe2 structure from Alexandria via LeMat-Bulk. Energies are from PBEsol.

- symmetry = Cm, No. 8
- D(E_F) (states/eV per atom) = 0.781
- formation energy (no corrections) (eV per atom) = 0.135

Cell: 5.140 5.140 6.495 Å, 111.19 111.19 37.18°
Sites, in units of the cell vectors:
Fe: 0.000 0.000 0.000
Hg: 0.276 0.276 0.998
Te: 0.466 0.466 0.687
Te: 0.639 0.639 0.306



[18]
Here is a geometry-optimized FeHgTe structure from Alexandria via LeMat-Bulk. Energies are from PBEsol.

- symmetry = F-43m, No. 216
- D(E_F) (states/eV per atom) = 1.178
- formation energy (no corrections) (eV per atom) = 0.301
- polymorph energy (0 for the lowest one) (eV per atom) = 0.024

Cell: 4.440 4.440 4.440 Å, 60.00 60.00 60.00°
Sites, in units of the cell vectors:
Fe: 0.000 0.000 0.000
Hg: 0.250 0.250 0.250
Te: 0.750 0.750 0.750



[19]
Here is a geometry-optimized Fe3HgTe structure from Alexandria via LeMat-Bulk. Energies are from PBEsol.

- symmetry = Pm-3m, No. 221
- D(E_F) (states/eV per atom) = 1.675
- formation energy (no corrections) (eV per atom) = 1.179

Cell: 4.667 4.667 4.667 Å, 90.00 90.00 90.00°
Sites, in units of the cell vectors:
Fe: 0.000 0.000 0.500
Fe: 0.000 0.500 0.000
Fe: 0.500 0.000 0.000
Hg: 0.500 0.500 0.500
Te: 0.000 0.000 0.000



[20]
Here is a geometry-optimized FeHgTe2 structure from Alexandria via LeMat-Bulk. Energies are from PBEsol.

- symmetry = R-3m, No. 166
- D(E_F) (states/eV per atom) = 1.235
- formation energy (no corrections) (eV per atom) = 0.492

Cell: 11.661 11.661 11.661 Å, 15.69 15.69 15.69°
Sites, in units of the cell vectors:
Fe: 0.000 0.000 0.000
Hg: 0.500 0.500 0.500
Te: 0.072 0.072 0.072
Te: 0.928 0.928 0.928



[21]
Here is a geometry-optimized Fe2HgTe structure from Alexandria via LeMat-Bulk. Energies are from PBEsol.

- symmetry = P4/mmm, No. 123
- D(E_F) (states/eV per atom) = 1.129
- formation energy (no corrections) (eV per atom) = 0.488
- polymorph energy (0 for the lowest one) (eV per atom) = 0.000

Cell: 4.468 4.468 3.209 Å, 90.00 90.00 90.00°
Sites, in units of the cell vectors:
Fe: 0.000 0.500 0.000
Fe: 0.500 0.000 0.000
Hg: 0.000 0.000 0.500
Te: 0.500 0.500 0.500



[22]
Here is a geometry-optimized FeHgTe2 structure from Alexandria via LeMat-Bulk. Energies are from PBEsol.

- symmetry = R-3m, No. 166
- D(E_F) (states/eV per atom) = 0.880
- formation energy (no corrections) (eV per atom) = -0.024

Cell: 8.310 8.310 8.310 Å, 25.48 25.48 25.48°
Sites, in units of the cell vectors:
Fe: 0.000 0.000 0.000
Hg: 0.500 0.500 0.500
Te: 0.275 0.275 0.275
Te: 0.725 0.725 0.725



[23]
Here is a geometry-optimized Fe2HgTe structure from Alexandria via LeMat-Bulk. Energies are from PBEsol.

- symmetry = I-4m2, No. 119
- D(E_F) (states/eV per atom) = 1.077
- formation energy (no corrections) (eV per atom) = 0.551
- polymorph energy (0 for the lowest one) (eV per atom) = 0.063

Cell: 5.234 5.234 5.234 Å, 136.59 136.59 63.08°
Sites, in units of the cell vectors:
Fe: 0.000 0.000 0.000
Fe: 0.750 0.250 0.500
Hg: 0.500 0.500 0.000
Te: 0.250 0.750 0.500



[24]
Here is a geometry-optimized FeHgTe2 structure from Alexandria via LeMat-Bulk. Energies are from PBEsol.

- symmetry = C2/m, No. 12
- D(E_F) (states/eV per atom) = 1.281
- formation energy (no corrections) (eV per atom) = 0.444

Cell: 5.075 5.075 4.278 Å, 104.75 104.75 106.23°
Sites, in units of the cell vectors:
Fe: 0.000 0.000 0.000
Hg: 0.500 0.500 0.000
Te: 0.000 0.500 0.500
Te: 0.500 0.000 0.500



[25]
Here is a geometry-optimized FeHg2Te structure from Alexandria via LeMat-Bulk. Energies are from PBEsol.

- symmetry = Pmmm, No. 47
- D(E_F) (states/eV per atom) = 1.372
- formation energy (no corrections) (eV per atom) = 0.454

Cell: 3.928 3.944 5.794 Å, 90.00 90.00 90.00°
Sites, in units of the cell vectors:
Fe: 0.000 0.000 0.000
Hg: 0.000 0.500 0.500
Hg: 0.500 0.000 0.500
Te: 0.500 0.500 0.000



[26]
Here is a geometry-optimized FeHg2Te structure from Alexandria via LeMat-Bulk. Energies are from PBEsol.

- symmetry = R3m, No. 160
- D(E_F) (states/eV per atom) = 0.569
- formation energy (no corrections) (eV per atom) = 0.163

Cell: 8.859 8.859 8.859 Å, 21.85 21.85 21.85°
Sites, in units of the cell vectors:
Fe: 0.000 0.000 0.000
Hg: 0.260 0.260 0.260
Hg: 0.502 0.502 0.502
Te: 0.726 0.726 0.726



[27]
Here is a geometry-optimized Tl2FeHg structure from Alexandria via LeMat-Bulk. Energies are from PBEsol.

- DFT formation energy (eV/atom) = 0.619
- symmetry = F-43m, No. 216
- D(E_F) (states/eV per atom) = 1.328
- polymorph energy (0 for the lowest one) (eV per atom) = 0.106

Cell: 5.005 5.005 5.005 Å, 60.00 60.00 60.00°
Sites, in units of the cell vectors:
Tl: 0.000 0.000 0.000
Tl: 0.250 0.250 0.250
Fe: 0.500 0.500 0.500
Hg: 0.750 0.750 0.750



[28]
Here is a geometry-optimized Tl2FeHg structure from Alexandria via LeMat-Bulk. Energies are from PBEsol.

- DFT formation energy (eV/atom) = 0.513
- symmetry = P4/mmm, No. 123
- D(E_F) (states/eV per atom) = 0.775
- polymorph energy (0 for the lowest one) (eV per atom) = 0.000

Cell: 5.294 5.294 3.114 Å, 90.00 90.00 90.00°
Sites, in units of the cell vectors:
Tl: 0.000 0.500 0.000
Tl: 0.500 0.000 0.000
Fe: 0.000 0.000 0.500
Hg: 0.500 0.500 0.500



[29]
Here is a geometry-optimized TlFeHg2 structure from Alexandria via LeMat-Bulk. Energies are from PBEsol.

- DFT formation energy (eV/atom) = 0.427
- symmetry = P2/m, No. 10
- D(E_F) (states/eV per atom) = 0.734
- polymorph energy (0 for the lowest one) (eV per atom) = 0.028

Cell: 3.336 4.503 5.646 Å, 90.00 102.14 90.00°
Sites, in units of the cell vectors:
Tl: 0.000 0.000 0.000
Fe: 0.000 0.000 0.500
Hg: 0.364 0.500 0.724
Hg: 0.636 0.500 0.276



[30]
Here is a geometry-optimized Tl2FeHg structure from Alexandria via LeMat-Bulk. Energies are from PBEsol.

- DFT formation energy (eV/atom) = 0.550
- symmetry = Pmmm, No. 47
- D(E_F) (states/eV per atom) = 0.834
- polymorph energy (0 for the lowest one) (eV per atom) = 0.038

Cell: 3.157 5.151 5.400 Å, 90.00 90.00 90.00°
Sites, in units of the cell vectors:
Tl: 0.000 0.000 0.000
Tl: 0.500 0.000 0.500
Fe: 0.000 0.500 0.500
Hg: 0.500 0.500 0.000